Entry from Alexandria: Nd6Co2Pt after structural relaxation (PBE-GGA).

formation enthalpy at 0 K: -0.284 eV per atom
N(E_F): 17.728 states/eV per cell
ρ: 8342 kg/m³

Structure (POSCAR):
```
Nd6Co2Pt
1.0
-1.970 -0.491 -8.232
0.865 -7.759 3.310
-6.200 4.012 4.166
Nd Co Pt
12 4 2
direct
0.317 0.645 0.328 Nd
0.097 0.274 0.823 Nd
0.185 0.754 0.939 Nd
0.903 0.726 0.177 Nd
0.683 0.355 0.672 Nd
0.549 0.726 0.823 Nd
0.683 0.011 0.328 Nd
0.451 0.274 0.177 Nd
0.815 0.754 0.569 Nd
0.185 0.246 0.431 Nd
0.317 0.989 0.672 Nd
0.815 0.246 0.061 Nd
0.672 0.000 0.672 Co
0.328 0.000 0.328 Co
0.500 0.613 0.113 Co
0.500 0.387 0.887 Co
0.000 0.500 0.500 Pt
0.000 0.000 0.000 Pt
```